Density functional theory data (SCAN) for a crystal of Mg2InBr relaxed with PBEsol.

Summary:
**Formation energy without anion corrections**: -0.254 eV per atom
**E above lowest polymorph**: 0.47 eV per formula unit

Unit cell a=3.339 b=5.933 c=9.952 alpha=90.00 beta=90.00 gamma=90.00
Space group Immm (No. 71)
Unique sites:
Mg1 0.000 0.000 0.237 (multiplicity 4)
In1 0.000 0.500 0.000 (multiplicity 2)
Br1 0.000 0.500 0.500 (multiplicity 2)

=====

Density functional theory data (SCAN) for a crystal of Mg2InBr relaxed with PBEsol.

Summary:
**Formation energy without anion corrections**: -0.314 eV per atom
**E above lowest polymorph**: 0.23 eV per formula unit

Unit cell a=5.371 b=5.371 c=3.269 alpha=90.00 beta=90.00 gamma=90.00
Space group P4/mmm (No. 123)
Unique sites:
Mg1 0.000 0.500 0.000 (multiplicity 2)
In1 0.000 0.000 0.500 (multiplicity 1)
Br1 0.500 0.500 0.500 (multiplicity 1)

=====

Density functional theory data (SCAN) for a crystal of Mg2InBr relaxed with PBEsol.

Summary:
**Formation energy without anion corrections**: -0.372 eV per atom
**E above lowest polymorph**: 0.00 eV per formula unit

Unit cell a=3.385 b=3.431 c=7.970 alpha=90.00 beta=90.00 gamma=90.00
Space group Pmmm (No. 47)
Unique sites:
Mg1 0.000 0.000 0.243 (multiplicity 2)
In1 0.500 0.500 0.000 (multiplicity 1)
Br1 0.500 0.500 0.500 (multiplicity 1)

=====

Density functional theory data (SCAN) for a crystal of MgInBr2 relaxed with PBEsol.

Summary:
**Formation energy without anion corrections**: -0.686 eV per atom
**E above lowest polymorph**: 0.56 eV per formula unit

Unit cell a=3.477 b=3.477 c=8.421 alpha=90.00 beta=90.00 gamma=90.00
Space group P4mm (No. 99)
Unique sites:
Mg1 0.000 0.000 0.000 (multiplicity 1)
In1 0.500 0.500 0.734 (multiplicity 1)
Br1 0.000 0.000 0.519 (multiplicity 1)
Br2 0.500 0.500 0.163 (multiplicity 1)

=====

Density functional theory data (SCAN) for a crystal of MgInBr3 relaxed with PBEsol.

Summary:
**Formation energy without anion corrections**: -1.215 eV per atom

Unit cell a=5.224 b=5.224 c=5.224 alpha=90.00 beta=90.00 gamma=90.00
Space group Pm-3m (No. 221)
Unique sites:
Mg1 0.000 0.000 0.000 (multiplicity 1)
In1 0.500 0.500 0.500 (multiplicity 1)
Br1 0.000 0.000 0.500 (multiplicity 3)

=====

Density functional theory data (SCAN) for a crystal of MgInBr3 relaxed with PBEsol.

Summary:
**Formation energy without anion corrections**: -1.276 eV per atom

Unit cell a=9.399 b=3.913 c=15.094 alpha=90.00 beta=90.00 gamma=90.00
Space group Pnma (No. 62)
Unique sites:
Mg1 0.162 0.250 0.055 (multiplicity 4)
In1 0.030 0.750 0.324 (multiplicity 4)
Br1 0.023 0.250 0.898 (multiplicity 4)
Br2 0.171 0.250 0.496 (multiplicity 4)
Br3 0.226 0.750 0.712 (multiplicity 4)

=====

Density functional theory data (SCAN) for a crystal of MgInBr2 relaxed with PBEsol.

Summary:
**Formation energy without anion corrections**: -0.827 eV per atom
**E above lowest polymorph**: 0.00 eV per formula unit

Unit cell a=3.690 b=6.292 c=9.877 alpha=90.00 beta=90.00 gamma=90.00
Space group Cmmm (No. 65)
Unique sites:
Mg1 0.000 0.000 0.000 (multiplicity 2)
In1 0.000 0.000 0.500 (multiplicity 2)
Br1 0.000 0.500 0.181 (multiplicity 4)

=====

Density functional theory data (SCAN) for a crystal of MgInBr2 relaxed with PBEsol.

Summary:
**Formation energy without anion corrections**: -0.542 eV per atom
**E above lowest polymorph**: 1.14 eV per formula unit

Unit cell a=3.9968 b=3.9968 c=28.4295 alpha=90.00 beta=90.00 gamma=120.00
Space group R-3m (No. 166, hexagonal axes)
Unique sites:
Mg1 0.0000 0.0000 0.0000 (multiplicity 3)
In1 0.0000 0.0000 0.5000 (multiplicity 3)
Br1 0.0000 0.0000 0.0891 (multiplicity 6)

=====

Density functional theory data (SCAN) for a crystal of MgInBr relaxed with PBEsol.

Summary:
**Formation energy without anion corrections**: -0.060 eV per atom

Unit cell a=7.370 b=7.370 c=7.370 alpha=90.00 beta=90.00 gamma=90.00
Space group F-43m (No. 216)
Unique sites:
Mg1 0.000 0.000 0.000 (multiplicity 4)
In1 0.250 0.250 0.250 (multiplicity 4)
Br1 0.000 0.000 0.500 (multiplicity 4)

=====

Density functional theory data (SCAN) for a crystal of MgIn2Br relaxed with PBEsol.

Summary:
**Formation energy without anion corrections**: -0.212 eV per atom

Unit cell a=3.388 b=5.220 c=5.813 alpha=90.00 beta=90.42 gamma=90.00
Space group P2/m (No. 10)
Unique sites:
Mg1 0.000 0.000 0.000 (multiplicity 1)
In1 0.431 0.500 0.248 (multiplicity 2)
Br1 0.000 0.000 0.500 (multiplicity 1)

=====

Density functional theory data (SCAN) for a crystal of MgInSe2Br relaxed with PBEsol.

Summary:
**Formation energy without anion corrections**: -0.171 eV per atom

Unit cell a=5.223 b=5.223 c=5.266 alpha=90.00 beta=90.00 gamma=90.00
Space group P4/mmm (No. 123)
Unique sites:
Mg1 0.000 0.000 0.000 (multiplicity 1)
In1 0.500 0.500 0.500 (multiplicity 1)
Se1 0.000 0.500 0.500 (multiplicity 2)
Br1 0.500 0.500 0.000 (multiplicity 1)

=====

Density functional theory data (SCAN) for a crystal of Mn2InBr relaxed with PBEsol.

Summary:
**Formation energy without anion corrections**: 0.154 eV per atom
**E above lowest polymorph**: 1.13 eV per formula unit

Unit cell a=4.877 b=4.877 c=3.077 alpha=90.00 beta=90.00 gamma=90.00
Space group P4/mmm (No. 123)
Unique sites:
Mn1 0.000 0.500 0.000 (multiplicity 2)
In1 0.000 0.000 0.500 (multiplicity 1)
Br1 0.500 0.500 0.500 (multiplicity 1)

=====

Density functional theory data (SCAN) for a crystal of Mn3InBr relaxed with PBEsol.

Summary:
**Formation energy without anion corrections**: 0.367 eV per atom

Unit cell a=5.166 b=5.166 c=5.166 alpha=90.00 beta=90.00 gamma=90.00
Space group Pm-3m (No. 221)
Unique sites:
Mn1 0.000 0.000 0.500 (multiplicity 3)
In1 0.000 0.000 0.000 (multiplicity 1)
Br1 0.500 0.500 0.500 (multiplicity 1)

=====

Density functional theory data (SCAN) for a crystal of Mn2InBr relaxed with PBEsol.

Summary:
**Formation energy without anion corrections**: -0.129 eV per atom
**E above lowest polymorph**: 0.00 eV per formula unit

Unit cell a=3.262 b=3.262 c=7.381 alpha=90.00 beta=90.00 gamma=90.00
Space group P4mm (No. 99)
Unique sites:
Mn1 0.000 0.000 0.000 (multiplicity 1)
Mn2 0.500 0.500 0.196 (multiplicity 1)
In1 0.500 0.500 0.801 (multiplicity 1)
Br1 0.000 0.000 0.378 (multiplicity 1)

=====

Density functional theory data (SCAN) for a crystal of Mn2InBr relaxed with PBEsol.

Summary:
**Formation energy without anion corrections**: -0.094 eV per atom
**E above lowest polymorph**: 0.14 eV per formula unit

Unit cell a=3.177 b=3.743 c=6.717 alpha=90.00 beta=90.00 gamma=90.00
Space group Pmmm (No. 47)
Unique sites:
Mn1 0.000 0.000 0.192 (multiplicity 2)
In1 0.500 0.500 0.000 (multiplicity 1)
Br1 0.500 0.000 0.500 (multiplicity 1)

=====

Density functional theory data (SCAN) for a crystal of MnInBr3 relaxed with PBEsol.

Summary:
**Formation energy without anion corrections**: -0.945 eV per atom

Unit cell a=5.202 b=5.202 c=5.202 alpha=90.00 beta=90.00 gamma=90.00
Space group Pm-3m (No. 221)
Unique sites:
Mn1 0.000 0.000 0.000 (multiplicity 1)
In1 0.500 0.500 0.500 (multiplicity 1)
Br1 0.000 0.000 0.500 (multiplicity 3)

=====

Density functional theory data (SCAN) for a crystal of MnInBr3 relaxed with PBEsol.

Summary:
**Formation energy without anion corrections**: -1.011 eV per atom

Unit cell a=9.322 b=3.888 c=14.892 alpha=90.00 beta=90.00 gamma=90.00
Space group Pnma (No. 62)
Unique sites:
Mn1 0.162 0.250 0.056 (multiplicity 4)
In1 0.041 0.750 0.324 (multiplicity 4)
Br1 0.023 0.250 0.897 (multiplicity 4)
Br2 0.172 0.250 0.495 (multiplicity 4)
Br3 0.224 0.750 0.712 (multiplicity 4)

=====

Density functional theory data (SCAN) for a crystal of Mn2InBr relaxed with PBEsol.

Summary:
**Formation energy without anion corrections**: 0.092 eV per atom
**E above lowest polymorph**: 0.88 eV per formula unit

Unit cell a=3.144 b=5.483 c=8.775 alpha=90.00 beta=90.00 gamma=90.00
Space group Immm (No. 71)
Unique sites:
Mn1 0.000 0.000 0.241 (multiplicity 4)
In1 0.000 0.500 0.000 (multiplicity 2)
Br1 0.000 0.500 0.500 (multiplicity 2)

=====

Density functional theory data (SCAN) for a crystal of InMoBr2 relaxed with PBEsol.

Summary:
**Formation energy without anion corrections**: 0.322 eV per atom
**E above lowest polymorph**: 1.84 eV per formula unit

Unit cell a=3.096 b=4.643 c=12.986 alpha=90.00 beta=90.00 gamma=90.00
Space group Imm2 (No. 44)
Unique sites:
In1 0.000 0.000 0.000 (multiplicity 2)
Mo1 0.000 0.500 0.690 (multiplicity 2)
Br1 0.000 0.000 0.347 (multiplicity 2)
Br2 0.000 0.500 0.164 (multiplicity 2)

=====

Density functional theory data (SCAN) for a crystal of InMoBr2 relaxed with PBEsol.

Summary:
**Formation energy without anion corrections**: 0.162 eV per atom
**E above lowest polymorph**: 1.20 eV per formula unit

Unit cell a=3.147 b=5.956 c=9.893 alpha=90.00 beta=90.00 gamma=90.00
Space group Cmmm (No. 65)
Unique sites:
In1 0.000 0.000 0.000 (multiplicity 2)
Mo1 0.000 0.000 0.500 (multiplicity 2)
Br1 0.000 0.500 0.296 (multiplicity 4)

=====

Density functional theory data (SCAN) for a crystal of In4MoBr relaxed with PBEsol.

Summary:
**Formation energy without anion corrections**: 0.563 eV per atom

Unit cell a=8.248 b=8.248 c=8.248 alpha=90.00 beta=90.00 gamma=90.00
Space group F-43m (No. 216)
Unique sites:
In1 0.125 0.125 0.125 (multiplicity 16)
Mo1 0.250 0.250 0.750 (multiplicity 4)
Br1 0.000 0.000 0.500 (multiplicity 4)

=====

Density functional theory data (SCAN) for a crystal of InMoBr2 relaxed with PBEsol.

Summary:
**Formation energy without anion corrections**: 0.353 eV per atom
**E above lowest polymorph**: 1.96 eV per formula unit

Unit cell a=5.216 b=5.216 c=3.694 alpha=90.00 beta=90.00 gamma=90.00
Space group P4/mmm (No. 123)
Unique sites:
In1 0.000 0.000 0.000 (multiplicity 1)
Mo1 0.500 0.500 0.000 (multiplicity 1)
Br1 0.000 0.500 0.500 (multiplicity 2)

=====

Density functional theory data (SCAN) for a crystal of InMoBr2 relaxed with PBEsol.

Summary:
**Formation energy without anion corrections**: 0.531 eV per atom
**E above lowest polymorph**: 2.68 eV per formula unit

Unit cell a=7.289 b=7.289 c=7.289 alpha=90.00 beta=90.00 gamma=90.00
Space group F-43m (No. 216)
Unique sites:
In1 0.000 0.000 0.000 (multiplicity 4)
Mo1 0.250 0.250 0.750 (multiplicity 4)
Br1 0.000 0.000 0.500 (multiplicity 4)
Br2 0.250 0.250 0.250 (multiplicity 4)

=====

Density functional theory data (SCAN) for a crystal of In3MoBr relaxed with PBEsol.

Summary:
**Formation energy without anion corrections**: 1.141 eV per atom

Unit cell a=5.558 b=5.558 c=5.558 alpha=90.00 beta=90.00 gamma=90.00
Space group Pm-3m (No. 221)
Unique sites:
In1 0.000 0.000 0.500 (multiplicity 3)
Mo1 0.500 0.500 0.500 (multiplicity 1)
Br1 0.000 0.000 0.000 (multiplicity 1)

=====

Density functional theory data (SCAN) for a crystal of InMoBr2 relaxed with PBEsol.

Summary:
**Formation energy without anion corrections**: -0.138 eV per atom
**E above lowest polymorph**: 0.00 eV per formula unit

Unit cell a=4.309 b=3.359 c=7.412 alpha=90.00 beta=106.75 gamma=90.00
Space group Pm (No. 6)
Unique sites:
In1 0.000 0.000 0.000 (multiplicity 1)
Mo1 0.537 0.500 0.074 (multiplicity 1)
Br1 0.356 0.500 0.718 (multiplicity 1)
Br2 0.671 0.000 0.345 (multiplicity 1)

=====

Density functional theory data (SCAN) for a crystal of In2MoBr relaxed with PBEsol.

Summary:
**Formation energy without anion corrections**: 0.256 eV per atom

Unit cell a=10.909 b=3.068 c=5.239 alpha=90.00 beta=108.40 gamma=90.00
Space group Cm (No. 8)
Unique sites:
In1 0.000 0.000 0.000 (multiplicity 2)
In2 0.201 0.000 0.637 (multiplicity 2)
Mo1 0.463 0.000 0.513 (multiplicity 2)
Br1 0.288 0.500 0.214 (multiplicity 2)

=====

Density functional theory data (SCAN) for a crystal of InMoBr2 relaxed with PBEsol.

Summary:
**Formation energy without anion corrections**: 0.267 eV per atom
**E above lowest polymorph**: 1.62 eV per formula unit

Unit cell a=3.477 b=4.259 c=6.421 alpha=90.00 beta=101.80 gamma=90.00
Space group P2/m (No. 10)
Unique sites:
In1 0.000 0.000 0.000 (multiplicity 1)
Mo1 0.500 0.000 0.500 (multiplicity 1)
Br1 0.383 0.500 0.720 (multiplicity 2)

=====

Density functional theory data (SCAN) for a crystal of InRhBrN2 relaxed with PBEsol.

Summary:
**Formation energy without anion corrections**: 2.193 eV per atom

Unit cell a=3.796 b=3.796 c=6.126 alpha=90.00 beta=90.00 gamma=90.00
Space group P4/mmm (No. 123)
Unique sites:
In1 0.000 0.000 0.000 (multiplicity 1)
Rh1 0.500 0.500 0.000 (multiplicity 1)
Br1 0.000 0.000 0.500 (multiplicity 1)
N1 0.000 0.500 0.500 (multiplicity 2)